PBE BaSc2, relaxed; magnetization = 0.0 μB/cell; E above lowest polymorph = 0.0 meV/atom; energy of formation from the pure elements = 232.3 meV per atom; calculated density = 3.54 g cm⁻³
1.0
1.779 -12.131 0.000
1.779 12.131 0.000
0.000 0.000 4.947
Ba Sc
2 4
Direct
0.183 0.817 0.750
0.817 0.183 0.250
0.073 0.927 0.250
0.462 0.538 0.250
0.538 0.462 0.750
0.927 0.073 0.750